# 1
Compound: Ti2Ni4Sb
Source: Alexandria
Functional: PBE
Structure: optimized geometry

Summary:
- Uncorrected formation energy: 4.736 eV/f.u.
- Mass density: 5.9 Mg/m³
- Calculated volume: 18.310 Å³/atom
- Space-group type: I4/mmm
- Size of the total moment: 1.0 μB per formula unit
- Energy: -38.301 eV per cell

Unit cell a=6.987 b=6.987 c=6.987 alpha=142.04 beta=142.04 gamma=54.77
Element x y z (fractional)
Ti  0.116  0.116  0.000
Ti  0.884  0.884  0.000
Ni  0.000  0.500  0.500
Ni  0.293  0.293  0.000
Ni  0.500  0.000  0.500
Ni  0.707  0.707  0.000
Sb  0.500  0.500  0.000

***

# 2
Compound: TiNiSb3
Source: Alexandria
Functional: PBE
Structure: optimized geometry

Summary:
- Uncorrected formation energy: 3.274 eV/f.u.
- Mass density: 5.6 Mg/m³
- Calculated volume: 27.897 Å³/atom
- Space-group type: Pm-3m
- Size of the total moment: 0.9 μB per formula unit
- Energy: -22.769 eV per cell

Unit cell a=5.186 b=5.186 c=5.186 alpha=90.00 beta=90.00 gamma=90.00
Element x y z (fractional)
Ti  0.000  0.000  0.000
Ni  0.500  0.500  0.500
Sb  0.000  0.000  0.500
Sb  0.000  0.500  0.000
Sb  0.500  0.000  0.000

***

# 3
Compound: TiNi2Sb
Source: Alexandria
Functional: PBE
Structure: optimized geometry

Summary:
- Uncorrected formation energy: -1.285 eV/f.u.
- Mass density: 8.2 Mg/m³
- Calculated volume: 14.604 Å³/atom
- Space-group type: P4/mmm
- Size of the total moment: 0.0 μB per formula unit
- Energy: -24.865 eV per cell

Unit cell a=3.932 b=3.932 c=3.778 alpha=90.00 beta=90.00 gamma=90.00
Element x y z (fractional)
Ti  0.000  0.000  0.000
Ni  0.000  0.500  0.500
Ni  0.500  0.000  0.500
Sb  0.500  0.500  0.000

***

# 4
Compound: Ti2NiSb
Source: Alexandria
Functional: PBE
Structure: optimized geometry

Summary:
- Uncorrected formation energy: -1.545 eV/f.u.
- Mass density: 7.2 Mg/m³
- Calculated volume: 16.031 Å³/atom
- Space-group type: P4/mmm
- Size of the total moment: 0.0 μB per formula unit
- Energy: -27.239 eV per cell

Unit cell a=3.897 b=3.897 c=4.222 alpha=90.00 beta=90.00 gamma=90.00
Element x y z (fractional)
Ti  0.000  0.500  0.000
Ti  0.500  0.000  0.000
Ni  0.000  0.000  0.500
Sb  0.500  0.500  0.500

***

# 5
Compound: TiNi2Sb8
Source: Alexandria
Functional: PBE
Structure: optimized geometry

Summary:
- Uncorrected formation energy: 0.025 eV/f.u.
- Mass density: 6.7 Mg/m³
- Calculated volume: 25.563 Å³/atom
- Space-group type: C2/m
- Size of the total moment: 0.0 μB per formula unit
- Energy: -52.412 eV per cell

Unit cell a=6.555 b=6.555 c=6.992 alpha=101.92 beta=101.92 gamma=99.14
Element x y z (fractional)
Ti  0.000  0.000  0.000
Ni  0.088  0.088  0.377
Ni  0.912  0.912  0.623
Sb  0.193  0.702  0.767
Sb  0.232  0.232  0.760
Sb  0.298  0.807  0.233
Sb  0.347  0.347  0.270
Sb  0.653  0.653  0.730
Sb  0.702  0.193  0.767
Sb  0.768  0.768  0.240
Sb  0.807  0.298  0.233

***

# 6
Compound: TiNi14Sb
Source: Alexandria
Functional: PBE
Structure: optimized geometry

Summary:
- Uncorrected formation energy: -1.855 eV/f.u.
- Mass density: 8.9 Mg/m³
- Calculated volume: 11.608 Å³/atom
- Space-group type: P4/mmm
- Size of the total moment: 4.1 μB per formula unit
- Energy: -94.811 eV per cell

Unit cell a=5.108 b=5.108 c=7.118 alpha=90.00 beta=90.00 gamma=90.00
Element x y z (fractional)
Ti  0.000  0.000  0.000
Ni  0.000  0.000  0.500
Ni  0.000  0.500  0.000
Ni  0.000  0.500  0.500
Ni  0.246  0.246  0.260
Ni  0.246  0.246  0.740
Ni  0.246  0.754  0.260
Ni  0.246  0.754  0.740
Ni  0.500  0.000  0.000
Ni  0.500  0.000  0.500
Ni  0.500  0.500  0.500
Ni  0.754  0.246  0.260
Ni  0.754  0.246  0.740
Ni  0.754  0.754  0.260
Ni  0.754  0.754  0.740
Sb  0.500  0.500  0.000